## Cu3NiB (PBE)

Data for Cu3NiB after structural relaxation.

abc: 4.348 4.348 4.348
angles: 90.00 90.00 90.00
Positions (direct):
Ni1 0.000 0.000 0.000
B1 0.500 0.500 0.500
Cu1 0.000 0.500 0.000
Cu2 0.000 0.000 0.500
Cu3 0.500 0.000 0.000

As for the space-group type: Pm-3m. The calculated formation energy comes out at 1.654 eV per atom. The density of states at the Fermi level is 4.59 states/eV per cell. The electronic total energy comes out at -16.48 eV for the cell shown. Its distance to the lowest polymorph of the same formula is 1303 meV per atom.



## CuNiB3 (PBE)

Data for CuNiB3 after structural relaxation.

abc: 3.750 3.750 3.750
angles: 90.00 90.00 90.00
Positions (direct):
Ni1 0.000 0.000 0.000
B1 0.000 0.500 0.000
B2 0.000 0.000 0.500
B3 0.500 0.000 0.000
Cu1 0.500 0.500 0.500

As for the space-group type: Pm-3m. The calculated formation energy comes out at 1.100 eV per atom. The density of states at the Fermi level is 1.29 states/eV per cell. The electronic total energy comes out at -24.41 eV for the cell shown. Its distance to the lowest polymorph of the same formula is 0 meV per atom.



## CuNi2B (PBE)

Data for CuNi2B after structural relaxation.

abc: 2.477 2.477 6.267
angles: 90.00 90.00 90.00
Positions (direct):
Ni1 0.000 0.000 0.805
Ni2 0.000 0.000 0.195
B1 0.500 0.500 0.000
Cu1 0.500 0.500 0.500

As for the space-group type: P4/mmm. The calculated formation energy comes out at -0.129 eV per atom. The density of states at the Fermi level is 1.41 states/eV per cell. The electronic total energy comes out at -22.85 eV for the cell shown.



## Cu2Ni21B6 (PBE)

Data for Cu2Ni21B6 after structural relaxation.

abc: 7.395 7.395 7.395
angles: 60.00 60.00 60.00
Site moments in Bohr magnetons follow the coordinates.
Positions (direct):
Cu1 0.750 0.750 0.750  -0.01
Cu2 0.250 0.250 0.250  -0.01
Ni1 0.000 0.000 0.000  0.52
Ni2 0.617 0.617 0.148  0.02
Ni3 0.617 0.617 0.617  0.02
Ni4 0.617 0.148 0.617  0.02
Ni5 0.148 0.617 0.617  0.02
Ni6 0.383 0.383 0.852  0.02
Ni7 0.383 0.383 0.383  0.02
Ni8 0.383 0.852 0.383  0.02
Ni9 0.852 0.383 0.383  0.02
Ni10 0.662 0.000 0.338  0.14
Ni11 0.000 0.662 0.338  0.14
Ni12 0.000 0.000 0.338  0.14
Ni13 0.000 0.662 0.000  0.14
Ni14 0.662 0.000 0.000  0.14
Ni15 0.000 0.000 0.662  0.14
Ni16 0.000 0.338 0.000  0.14
Ni17 0.000 0.338 0.662  0.14
Ni18 0.662 0.338 0.000  0.14
Ni19 0.338 0.000 0.662  0.14
Ni20 0.338 0.000 0.000  0.14
Ni21 0.338 0.662 0.000  0.14
B1 0.274 0.726 0.274  0.00
B2 0.726 0.274 0.274  0.00
B3 0.726 0.726 0.274  0.00
B4 0.726 0.274 0.726  0.00
B5 0.274 0.726 0.726  0.00
B6 0.274 0.274 0.726  0.00

As for the space-group type: Fm-3m. The calculated formation energy comes out at -0.208 eV per atom. The density of states at the Fermi level is 31.00 states/eV per cell. The electronic total energy comes out at -175.69 eV for the cell shown.



## Cu2Ni4B (PBE)

Data for Cu2Ni4B after structural relaxation.

abc: 3.734 3.734 6.559
angles: 73.46 73.46 90.00
Positions (direct):
Ni1 0.158 0.158 0.683
Ni2 0.842 0.842 0.317
Ni3 0.000 0.500 0.000
Ni4 0.500 0.000 0.000
B1 0.000 0.000 0.000
Cu1 0.356 0.356 0.287
Cu2 0.644 0.644 0.713

As for the space-group type: I4/mmm. The calculated formation energy comes out at 0.239 eV per atom. The density of states at the Fermi level is 5.68 states/eV per cell. The electronic total energy comes out at -36.32 eV for the cell shown.



## CuNi2B (PBE)

Data for CuNi2B after structural relaxation.

abc: 2.619 3.860 3.860
angles: 90.00 90.00 90.00
Positions (direct):
Ni1 0.000 0.000 0.500
Ni2 0.000 0.500 0.000
B1 0.500 0.500 0.500
Cu1 0.500 0.000 0.000

As for the space-group type: P4/mmm. The calculated formation energy comes out at 0.213 eV per atom. The density of states at the Fermi level is 1.76 states/eV per cell. The electronic total energy comes out at -21.48 eV for the cell shown.



## CuNi8B2 (PBE)

Data for CuNi8B2 after structural relaxation.

abc: 3.940 5.620 5.620
angles: 111.69 98.23 98.23
Positions (direct):
Cu1 0.500 0.000 0.000
Ni1 0.911 0.929 0.669
Ni2 0.911 0.669 0.929
Ni3 0.297 0.606 0.606
Ni4 0.500 0.746 0.254
Ni5 0.500 0.254 0.746
Ni6 0.703 0.394 0.394
Ni7 0.089 0.331 0.071
Ni8 0.089 0.071 0.331
B1 0.000 0.315 0.685
B2 0.000 0.685 0.315

As for the space-group type: C2/m. The calculated formation energy comes out at -0.100 eV per atom. The density of states at the Fermi level is 14.77 states/eV per cell. The electronic total energy comes out at -64.80 eV for the cell shown.



## CuNiB (PBE)

Data for CuNiB after structural relaxation.

abc: 2.813 3.468 3.468
angles: 120.00 90.00 90.00
Positions (direct):
Ni1 0.455 0.333 0.667
B1 0.601 0.667 0.333
Cu1 0.943 0.000 0.000

As for the space-group type: P3m1. The calculated formation energy comes out at 0.153 eV per atom. The density of states at the Fermi level is 1.05 states/eV per cell. The electronic total energy comes out at -16.10 eV for the cell shown.



The lowest calculated formation energy belongs to which entry?
Cu2Ni21B6



The highest calculated formation energy belongs to which entry?
Cu3NiB



Which value of electronic total energy does entry 1 give?
-16.48 eV for the cell shown